Record 1
First-principles (PBE) data for crystalline K2Cu2BiTe4 at its relaxed geometry, as listed in the Alexandria database.

Results
* uncorrected formation energy: -410 kJ/mol of formula units
* magnetization: 0.000 μB/atom

abc: 4.274 8.596 8.572
angles: 111.19 90.00 104.39
Fractional positions:
1 Te 0.469 0.937 0.237
2 K 0.869 0.739 0.455
3 Te 0.797 0.593 0.815
4 Te 0.531 0.063 0.763
5 Cu 0.302 0.604 0.006
6 Bi 0.000 0.000 0.000
7 K 0.131 0.261 0.545
8 Te 0.203 0.407 0.185
9 Cu 0.698 0.396 0.994



Record 2
First-principles (PBE) data for crystalline NbAlCo4 at its relaxed geometry, as listed in the Alexandria database.

Results
* ΔH_f (0 K): -118 kJ/mol of formula units
* relative energy among the computed polymorphs: 30.1 meV per atom
* magnetization: 0.348 μB/atom

abc: 4.731 4.731 7.647
angles: 90.00 90.00 120.00
Fractional positions:
1 Co 0.661 0.830 0.252
2 Nb 0.667 0.333 0.084
3 Co 0.000 0.000 0.000
4 Al 0.667 0.333 0.449
5 Co 0.170 0.339 0.252
6 Co 0.830 0.170 0.748
7 Co 0.000 0.000 0.500
8 Nb 0.333 0.667 0.916
9 Co 0.170 0.830 0.252
10 Co 0.339 0.170 0.748
11 Al 0.333 0.667 0.551
12 Co 0.830 0.661 0.748



Record 3
First-principles (PBE) data for crystalline Hf2ScTi at its relaxed geometry, as listed in the Alexandria database.

Results
* ΔH_f (0 K): 74 kJ/mol of formula units
* relative energy among the computed polymorphs: 121.6 meV per atom
* magnetization: 0.593 μB/atom

abc: 4.944 4.944 4.944
angles: 60.00 60.00 60.00
Fractional positions:
1 Hf 0.250 0.250 0.250
2 Hf 0.750 0.750 0.750
3 Sc 0.000 0.000 0.000
4 Ti 0.500 0.500 0.500



Record 4
First-principles (PBE) data for crystalline MgBe at its relaxed geometry, as listed in the Alexandria database.

Results
* ΔH_f (0 K): 59 kJ/mol of formula units
* relative energy among the computed polymorphs: 90.9 meV per atom
* magnetization: 0.000 μB/atom

abc: 4.304 4.304 4.061
angles: 90.00 90.00 120.00
Fractional positions:
1 Mg 0.333 0.667 0.750
2 Be 0.000 0.000 0.500
3 Be 0.000 0.000 0.000
4 Mg 0.667 0.333 0.250



What did the third record say?
First-principles (PBE) data for crystalline Hf2ScTi at its relaxed geometry, as listed in the Alexandria database.

Results
* ΔH_f (0 K): 74 kJ/mol of formula units
* relative energy among the computed polymorphs: 121.6 meV per atom
* magnetization: 0.593 μB/atom

abc: 4.944 4.944 4.944
angles: 60.00 60.00 60.00
Fractional positions:
1 Hf 0.250 0.250 0.250
2 Hf 0.750 0.750 0.750
3 Sc 0.000 0.000 0.000
4 Ti 0.500 0.500 0.500